# 1
A plane-wave DFT calculation with GGA-PBE was carried out for a geometry-optimized Be2VCdSi structure.

abc: 4.3798 4.3798 5.0855
angles: 90.00 90.00 90.00
Fractional coordinates of all 5 atoms:
Be 0.0000 0.5000 0.0000
Be 0.5000 0.0000 0.0000
V 0.0000 0.0000 0.0000
Cd 0.0000 0.0000 0.5000
Si 0.5000 0.5000 0.5000

- Total DFT energy (no corrections): -3.047 eV per atom
- Crystal system: tetragonal
- Calculated density: 3.6 g/cm³

***

# 2
A plane-wave DFT calculation with GGA-PBE was carried out for a geometry-optimized TmSnPd5 structure.

abc: 4.1021 4.1021 7.5748
angles: 90.00 90.00 90.00
Fractional coordinates of all 7 atoms:
Tm 0.0000 0.0000 0.0000
Sn 0.5000 0.5000 0.5000
Pd 0.0000 0.5000 0.2707
Pd 0.0000 0.5000 0.7293
Pd 0.5000 0.0000 0.2707
Pd 0.5000 0.0000 0.7293
Pd 0.5000 0.5000 0.0000

- E_form: -0.731 eV per atom
- Excess energy over the best structure of this formula in the dataset: 0 meV/atom
- Crystal system: tetragonal
- Calculated density: 10.7 g/cm³